(1)
DFT (PBE) results for an optimized crystal structure of Ti4ZnSb.

a = 7.5246 Å, b = 7.5246 Å, c = 6.2588 Å
α = 99.24°, β = 99.24°, γ = 40.18°
Positions (direct):
Ti1 0.0362 0.8160 0.5732
Ti2 0.1820 0.4943 0.8966
Ti3 0.1840 0.9638 0.9268
Ti4 0.4943 0.1820 0.3966
Ti5 0.5057 0.8180 0.6034
Ti6 0.8160 0.0362 0.0732
Ti7 0.8180 0.5057 0.1034
Ti8 0.9638 0.1840 0.4268
Zn1 0.0000 0.5000 0.5000
Zn2 0.5000 0.0000 0.0000
Sb1 0.3873 0.6127 0.2500
Sb2 0.6127 0.3873 0.7500

Calculated values
The calculation puts the uncorrected energy at -6.118 eV/atom. Its formation energy (no corrections) is 0.045 eV per atom.

---

(2)
DFT (PBE) results for an optimized crystal structure of Mg2AsSe.

a = 3.4792 Å, b = 3.5524 Å, c = 13.9247 Å
α = 90.00°, β = 90.00°, γ = 90.00°
Positions (direct):
Mg1 0.0000 0.0000 0.0000
Mg2 0.0000 0.5000 0.2373
Mg3 0.5000 0.0000 0.7373
Mg4 0.5000 0.5000 0.5000
As1 0.0000 0.0000 0.3974
As2 0.5000 0.5000 0.8974
Se1 0.0000 0.5000 0.6517
Se2 0.5000 0.0000 0.1517

Calculated values
The calculation puts the uncorrected energy at -3.472 eV/atom. Its formation energy (no corrections) is -0.641 eV per atom.

---

(3)
DFT (PBE) results for an optimized crystal structure of Cs3KRe.

a = 8.2154 Å, b = 8.2154 Å, c = 8.2154 Å
α = 90.00°, β = 90.00°, γ = 90.00°
Positions (direct):
Cs1 0.0000 0.0000 0.5000
Cs2 0.0000 0.5000 0.0000
Cs3 0.5000 0.0000 0.0000
K1 0.0000 0.0000 0.0000
Re1 0.5000 0.5000 0.5000

Calculated values
The calculation puts the uncorrected energy at -1.615 eV/atom. For the energy of formation, the calculation gives 1.61 eV per atom.

---

(4)
DFT (PBE) results for an optimized crystal structure of La2Pm6PrSm.

a = 8.9272 Å, b = 8.9272 Å, c = 10.1746 Å
α = 95.23°, β = 95.23°, γ = 117.81°
Positions (direct):
La1 0.1902 0.2864 0.0406
La2 0.2864 0.1902 0.5406
La3 0.7136 0.8098 0.4594
La4 0.8098 0.7136 0.9594
Pm1 0.0204 0.5780 0.1882
Pm2 0.1186 0.7360 0.5558
Pm3 0.2640 0.8814 0.9442
Pm4 0.2995 0.5061 0.3794
Pm5 0.4220 0.9796 0.3118
Pm6 0.4939 0.7005 0.1206
Pm7 0.5061 0.2995 0.8794
Pm8 0.5780 0.0204 0.6882
Pm9 0.7005 0.4939 0.6206
Pm10 0.7360 0.1186 0.0558
Pm11 0.8814 0.2640 0.4442
Pm12 0.9796 0.4220 0.8118
Pr1 0.0114 0.9886 0.2500
Pr2 0.9886 0.0114 0.7500
Sm1 0.4047 0.5953 0.7500
Sm2 0.5953 0.4047 0.2500

Calculated values
The calculation puts the uncorrected energy at -4.675 eV/atom. For the energy of formation, the calculation gives 0.11 eV per atom.

---

(5)
DFT (PBE) results for an optimized crystal structure of SmEr2Th3Se6.

a = 6.9496 Å, b = 6.9496 Å, c = 7.5556 Å
α = 98.81°, β = 98.81°, γ = 119.73°
Positions (direct):
Sm1 0.0000 0.0000 0.0000
Er1 0.3323 0.6677 0.0000
Er2 0.6677 0.3323 0.0000
Th1 0.1623 0.8377 0.5000
Th2 0.5000 0.5000 0.5000
Th3 0.8377 0.1623 0.5000
Se1 0.0788 0.4198 0.2355
Se2 0.2649 0.2649 0.7698
Se3 0.4198 0.0788 0.2355
Se4 0.5802 0.9212 0.7645
Se5 0.7351 0.7351 0.2302
Se6 0.9212 0.5802 0.7645

Calculated values
The calculation puts the uncorrected energy at -6.381 eV/atom. Its formation energy (no corrections) is -1.630 eV per atom.